A plane-wave DFT calculation with GGA-PBE was carried out for AcDy2 after structural relaxation.

Properties
Calculated total energy in eV per cell: -26.29
Energy above the lowest structure with this stoichiometry in eV per atom: 0.000
Total moment in μB/cell: 0.0
Symmetry: No. 12
Volume in A^3/atom: 35.49
Crystal system: monoclinic

Cell: 8.181 8.181 7.379 Å, 103.62 103.62 26.38°
Fractional positions:
Ac: 0.162 0.162 0.083
Ac: 0.838 0.838 0.917
Dy: 0.165 0.165 0.582
Dy: 0.499 0.499 0.732
Dy: 0.501 0.501 0.268
Dy: 0.835 0.835 0.418



A plane-wave DFT calculation with GGA-PBE was carried out for Ac2CuRh3 after structural relaxation.

Properties
Calculated total energy in eV per cell: -37.32
Energy above the lowest structure with this stoichiometry in eV per atom: 0.000
Total moment in μB/cell: 0.0
Symmetry: No. 25
Volume in A^3/atom: 23.17
Crystal system: orthorhombic

Cell: 4.234 4.393 7.476 Å, 90.00 90.00 90.00°
Fractional positions:
Ac: 0.000 0.000 0.000
Ac: 0.000 0.500 0.488
Cu: 0.500 0.500 0.825
Rh: 0.500 0.000 0.326
Rh: 0.500 0.000 0.669
Rh: 0.500 0.500 0.153



A plane-wave DFT calculation with GGA-PBE was carried out for Ce6Te5Br after structural relaxation.

Properties
Calculated total energy in eV per cell: -68.68
Total moment in μB/cell: 6.7
Symmetry: No. 12
Volume in A^3/atom: 31.10
Crystal system: monoclinic

Cell: 7.740 7.740 7.738 Å, 99.74 99.74 120.99°
Fractional positions:
Ce: 0.080 0.409 0.744
Ce: 0.244 0.244 0.248
Ce: 0.409 0.080 0.744
Ce: 0.591 0.920 0.256
Ce: 0.756 0.756 0.752
Ce: 0.920 0.591 0.256
Te: 0.171 0.829 0.000
Te: 0.335 0.665 0.500
Te: 0.500 0.500 0.000
Te: 0.665 0.335 0.500
Te: 0.829 0.171 0.000
Br: 0.000 0.000 0.500



A plane-wave DFT calculation with GGA-PBE was carried out for CdFeCu2 after structural relaxation.

Properties
Calculated total energy in eV per cell: -16.61
Total moment in μB/cell: 2.7
Symmetry: No. 12
Volume in A^3/atom: 14.38
Crystal system: monoclinic

Cell: 4.499 4.499 5.013 Å, 97.82 97.82 34.95°
Fractional positions:
Cd: 0.000 0.000 0.000
Fe: 0.500 0.500 0.500
Cu: 0.244 0.244 0.714
Cu: 0.756 0.756 0.286



A plane-wave DFT calculation with GGA-PBE was carried out for CsSr2HfSn after structural relaxation.

Properties
Calculated total energy in eV per cell: -16.23
Total moment in μB/cell: 0.0
Symmetry: No. 123
Volume in A^3/atom: 47.94
Crystal system: tetragonal

Cell: 6.511 6.511 5.655 Å, 90.00 90.00 90.00°
Fractional positions:
Cs: 0.000 0.000 0.000
Sr: 0.000 0.500 0.500
Sr: 0.500 0.000 0.500
Hf: 0.500 0.500 0.000
Sn: 0.500 0.500 0.500



A plane-wave DFT calculation with GGA-PBE was carried out for Zn2BiSb2 after structural relaxation.

Properties
Calculated total energy in eV per cell: -27.79
Energy above the lowest structure with this stoichiometry in eV per atom: 0.032
Total moment in μB/cell: 0.0
Symmetry: No. 127
Volume in A^3/atom: 24.60
Crystal system: tetragonal

Cell: 8.647 8.647 3.290 Å, 90.00 90.00 90.00°
Fractional positions:
Zn: 0.142 0.358 0.000
Zn: 0.358 0.858 0.000
Zn: 0.642 0.142 0.000
Zn: 0.858 0.642 0.000
Bi: 0.000 0.000 0.500
Bi: 0.500 0.500 0.500
Sb: 0.156 0.656 0.500
Sb: 0.344 0.156 0.500
Sb: 0.656 0.844 0.500
Sb: 0.844 0.344 0.500



A plane-wave DFT calculation with GGA-PBE was carried out for Ti3TeW after structural relaxation.

Properties
Calculated total energy in eV per cell: -33.21
Energy above the lowest structure with this stoichiometry in eV per atom: 0.601
Total moment in μB/cell: 0.0
Symmetry: No. 221
Volume in A^3/atom: 22.57
Crystal system: cubic

Cell: 4.833 4.833 4.833 Å, 90.00 90.00 90.00°
Fractional positions:
Ti: 0.000 0.000 0.500
Ti: 0.000 0.500 0.000
Ti: 0.500 0.000 0.000
Te: 0.000 0.000 0.000
W: 0.500 0.500 0.500



A plane-wave DFT calculation with GGA-PBE was carried out for LaYSbAs2 after structural relaxation.

Properties
Calculated total energy in eV per cell: -21.58
Total moment in μB/cell: 0.0
Symmetry: No. 123
Volume in A^3/atom: 37.06
Crystal system: tetragonal

Cell: 5.474 5.474 6.184 Å, 90.00 90.00 90.00°
Fractional positions:
La: 0.000 0.000 0.000
Y: 0.000 0.000 0.500
Sb: 0.500 0.500 0.500
As: 0.000 0.500 0.000
As: 0.500 0.000 0.000



The highest total moment belongs to which entry? Ce6Te5Br



Which formula does entry 8 have? LaYSbAs2



Which formula does entry 4 have? CdFeCu2